1.
Compound: Nd3GeSeBr
Source: the Alexandria database
Functional: PBE-GGA
Structure: relaxed

The value obtained for the final energy is -5.346 eV per atom. As for the density of states at the Fermi level: 0.538 states/eV per atom. For the formation energy from raw total energies, the calculation gives -1.333 eV per atom.

It has space group P2_1/m (No. 11), with a = 7.6323 Å, b = 4.1334 Å, c = 11.0761 Å, α = 90.00°, β = 103.49° and γ = 90.00°. The inequivalent atoms are Nd at (0.0381, 0.2500, 0.1704), Nd at (0.2017, 0.7500, 0.5087), Nd at (0.4386, 0.7500, 0.8461), Ge at (0.1494, 0.2500, 0.6979), Se at (0.2627, 0.7500, 0.0612) and Br at (0.3802, 0.2500, 0.3722).

---

2.
Compound: Fe2MoIr
Source: the Alexandria database
Functional: PBE-GGA
Structure: relaxed

The value obtained for the final energy is -9.213 eV per atom. As for the density of states at the Fermi level: 0.975 states/eV per atom. The calculation puts the formation energy from the elements at -0.059 eV per atom.

It has space group I-4m2 (No. 119), with a = 3.7360 Å, b = 3.7360 Å, c = 7.6146 Å, α = 90.00°, β = 90.00° and γ = 90.00°. The inequivalent atoms are Fe at (0.0000, 0.0000, 0.0000), Fe at (0.0000, 0.5000, 0.2500), Mo at (0.0000, 0.0000, 0.5000) and Ir at (0.0000, 0.5000, 0.7500).

---

3.
Compound: Ca3ErU2P6
Source: the Alexandria database
Functional: PBE-GGA
Structure: relaxed

The value obtained for the final energy is -6.638 eV per atom. As for the density of states at the Fermi level: 1.104 states/eV per atom. The calculation puts the formation energy from the elements at -1.171 eV per atom.

It has space group C2/m (No. 12), with a = 6.9867 Å, b = 12.0962 Å, c = 7.0321 Å, α = 90.00°, β = 109.32° and γ = 90.00°. The inequivalent atoms are Ca at (0.0000, 0.0000, 0.0000), Ca at (0.0000, 0.3352, 0.0000), Er at (0.0000, 0.5000, 0.5000), U at (0.0000, 0.1669, 0.5000), P at (0.2347, 0.0000, 0.7277) and P at (0.2464, 0.3294, 0.7268).

---

4.
Compound: Rb2In4O7
Source: the Alexandria database
Functional: PBE-GGA
Structure: relaxed

The value obtained for the final energy is -5.186 eV per atom. For the formation energy from raw total energies, the calculation gives -1.525 eV per atom.

It has space group P-31m (No. 162), with a = 5.7314 Å, b = 5.7314 Å, c = 7.4548 Å, α = 90.00°, β = 90.00° and γ = 120.00°. The inequivalent atoms are Rb at (0.3333, 0.6667, 0.0000), In at (0.0000, 0.0000, 0.2760), In at (0.3333, 0.6667, 0.5000), O at (0.0000, 0.0000, 0.0000) and O at (0.0000, 0.3581, 0.6658).

---

5.
Compound: KCaTa2
Source: the Alexandria database
Functional: PBE-GGA
Structure: relaxed

The value obtained for the final energy is -5.402 eV per atom. As for the density of states at the Fermi level: 1.720 states/eV per atom. The calculation puts the formation energy from the elements at 1.299 eV per atom.

It has space group I4/mmm (No. 139), with a = 4.0584 Å, b = 4.0584 Å, c = 11.7509 Å, α = 90.00°, β = 90.00° and γ = 90.00°. The inequivalent atoms are K at (0.0000, 0.0000, 0.0000), Ca at (0.0000, 0.0000, 0.5000) and Ta at (0.0000, 0.5000, 0.2500).

---

6.
Compound: Tb6Ce2Er3Tm
Source: the Alexandria database
Functional: PBE-GGA
Structure: relaxed

The value obtained for the final energy is -4.770 eV per atom. As for the density of states at the Fermi level: 1.840 states/eV per atom. The calculation puts the formation energy from the elements at 0.048 eV per atom.

It has space group C2/m (No. 12), with a = 6.1173 Å, b = 10.5948 Å, c = 11.7161 Å, α = 90.00°, β = 100.03° and γ = 90.00°. The inequivalent atoms are Tb at (0.2489, 0.0000, 0.2498), Tb at (0.2488, 0.1674, 0.7505), Ce at (0.0000, 0.1665, 0.0000), Er at (0.0000, 0.0000, 0.5000), Er at (0.0000, 0.3339, 0.5000) and Tm at (0.0000, 0.5000, 0.0000).

---

7.
Compound: KIrOs
Source: the Alexandria database
Functional: PBE-GGA
Structure: relaxed

The value obtained for the final energy is -6.553 eV per atom. As for the density of states at the Fermi level: 0.727 states/eV per atom. The calculation puts the formation energy from the elements at 0.510 eV per atom.

It has space group Cmcm (No. 63), with a = 4.4607 Å, b = 12.1648 Å, c = 5.1204 Å, α = 90.00°, β = 90.00° and γ = 90.00°. The inequivalent atoms are K at (0.0000, 0.2317, 0.2500), Ir at (0.0000, 0.0272, 0.7500) and Os at (0.0000, 0.5000, 0.0000).

---

8.
Compound: PmGe2Pd6
Source: the Alexandria database
Functional: PBE-GGA
Structure: relaxed

The value obtained for the final energy is -5.524 eV per atom. As for the density of states at the Fermi level: 0.302 states/eV per atom. The calculation puts the formation energy from the elements at -0.508 eV per atom.

It has space group P6/mmm (No. 191), with a = 5.5772 Å, b = 5.5772 Å, c = 6.5816 Å, α = 90.00°, β = 90.00° and γ = 120.00°. The inequivalent atoms are Pm at (0.0000, 0.0000, 0.0000), Ge at (0.3333, 0.6667, 0.5000) and Pd at (0.0000, 0.5000, 0.2097).

---

9.
Compound: LiAl2VC
Source: the Alexandria database
Functional: PBE-GGA
Structure: relaxed

The value obtained for the final energy is -5.389 eV per atom. As for the density of states at the Fermi level: 0.647 states/eV per atom. The calculation puts the formation energy from the elements at 0.159 eV per atom.

It has space group P4/mmm (No. 123), with a = 4.0380 Å, b = 4.0380 Å, c = 4.0175 Å, α = 90.00°, β = 90.00° and γ = 90.00°. The inequivalent atoms are Li at (0.0000, 0.0000, 0.0000), Al at (0.0000, 0.5000, 0.5000), V at (0.5000, 0.5000, 0.0000) and C at (0.5000, 0.5000, 0.5000).

---

10.
Compound: PmTl3Os2O9
Source: the Alexandria database
Functional: PBE-GGA
Structure: relaxed

The value obtained for the final energy is -6.559 eV per atom. As for the density of states at the Fermi level: 0.199 states/eV per atom. For the formation energy from raw total energies, the calculation gives -1.297 eV per atom.

It has space group P-3m1 (No. 164), with a = 5.8398 Å, b = 5.8398 Å, c = 7.2827 Å, α = 90.00°, β = 90.00° and γ = 120.00°. The inequivalent atoms are Pm at (0.0000, 0.0000, 0.0000), Tl at (0.0000, 0.0000, 0.5000), Tl at (0.3333, 0.6667, 0.1555), Os at (0.3333, 0.6667, 0.6487), O at (0.0000, 0.5000, 0.5000) and O at (0.1814, 0.3627, 0.8013).

---

11.
Compound: Ba2TmTc2N6
Source: the Alexandria database
Functional: PBE-GGA
Structure: relaxed

The value obtained for the final energy is -7.866 eV per atom. As for the density of states at the Fermi level: 0.312 states/eV per atom. For the formation energy from raw total energies, the calculation gives -0.684 eV per atom.

It has space group C2/m (No. 12), with a = 10.7533 Å, b = 6.1153 Å, c = 7.1880 Å, α = 90.00°, β = 123.18° and γ = 90.00°. The inequivalent atoms are Ba at (0.2170, 0.0000, 0.1940), Tm at (0.0000, 0.0000, 0.5000), Tc at (0.0426, 0.5000, 0.2056), N at (0.0406, 0.2568, 0.7636) and N at (0.2404, 0.5000, 0.3484).

---

12.
Compound: KBiF4
Source: the Alexandria database
Functional: PBE-GGA
Structure: relaxed

The value obtained for the final energy is -4.653 eV per atom. As for the density of states at the Fermi level: 0.000 states/eV per atom. For the formation energy from raw total energies, the calculation gives -2.576 eV per atom.

It has space group Fd-3m (No. 227, origin choice 2), with a = 11.8347 Å, b = 11.8347 Å, c = 11.8347 Å, α = 90.00°, β = 90.00° and γ = 90.00°. The inequivalent atoms are K at (0.0000, 0.0000, 0.0000), Bi at (0.0000, 0.0000, 0.5000), F at (0.0932, 0.3750, 0.8750), F at (0.1250, 0.1250, 0.1250) and F at (0.1250, 0.1250, 0.6250).

---

13.
Compound: CaPmGaHg
Source: the Alexandria database
Functional: PBE-GGA
Structure: relaxed

The value obtained for the final energy is -3.049 eV per atom. As for the density of states at the Fermi level: 0.493 states/eV per atom. The calculation puts the formation energy from the elements at -0.529 eV per atom.

It has space group F-43m (No. 216), with a = 7.4840 Å, b = 7.4840 Å, c = 7.4840 Å, α = 90.00°, β = 90.00° and γ = 90.00°. The inequivalent atoms are Ca at (0.0000, 0.0000, 0.0000), Pm at (0.0000, 0.0000, 0.5000), Ga at (0.2500, 0.2500, 0.7500) and Hg at (0.2500, 0.2500, 0.2500).

---

14.
Compound: TaSnSbTe2
Source: the Alexandria database
Functional: PBE-GGA
Structure: relaxed

The value obtained for the final energy is -3.865 eV per atom. As for the density of states at the Fermi level: 1.020 states/eV per atom. For the formation energy from raw total energies, the calculation gives 1.387 eV per atom.

It has space group P4/mmm (No. 123), with a = 5.5389 Å, b = 5.5389 Å, c = 5.5005 Å, α = 90.00°, β = 90.00° and γ = 90.00°. The inequivalent atoms are Ta at (0.0000, 0.0000, 0.0000), Sn at (0.5000, 0.5000, 0.5000), Sb at (0.5000, 0.5000, 0.0000) and Te at (0.0000, 0.5000, 0.5000).

---

15.
Compound: TmScCdPt
Source: the Alexandria database
Functional: PBE-GGA
Structure: relaxed

The value obtained for the final energy is -5.173 eV per atom. As for the density of states at the Fermi level: 0.648 states/eV per atom. The calculation puts the formation energy from the elements at -0.733 eV per atom.

It has space group F-43m (No. 216), with a = 6.9650 Å, b = 6.9650 Å, c = 6.9650 Å, α = 90.00°, β = 90.00° and γ = 90.00°. The inequivalent atoms are Tm at (0.0000, 0.0000, 0.0000), Sc at (0.0000, 0.0000, 0.5000), Cd at (0.2500, 0.2500, 0.7500) and Pt at (0.2500, 0.2500, 0.2500).

---

16.
Compound: PuSnAuSe
Source: the Alexandria database
Functional: PBE-GGA
Structure: relaxed

The value obtained for the final energy is -6.957 eV per atom. As for the density of states at the Fermi level: 2.703 states/eV per atom. For the formation energy from raw total energies, the calculation gives -0.683 eV per atom.

It has space group R-3m (No. 166, hexagonal axes), with a = 4.7321 Å, b = 4.7321 Å, c = 33.1125 Å, α = 90.00°, β = 90.00° and γ = 120.00°. The inequivalent atoms are Pu at (0.0000, 0.0000, 0.1101), Sn at (0.0000, 0.0000, 0.2957), Au at (0.0000, 0.0000, 0.3845) and Se at (0.0000, 0.0000, 0.1998).

---

17.
Compound: ZnCrPb
Source: the Alexandria database
Functional: PBE-GGA
Structure: relaxed

The value obtained for the final energy is -4.398 eV per atom. As for the density of states at the Fermi level: 0.477 states/eV per atom. The calculation puts the formation energy from the elements at 0.470 eV per atom.

It has space group F-43m (No. 216), with a = 6.4190 Å, b = 6.4190 Å, c = 6.4190 Å, α = 90.00°, β = 90.00° and γ = 90.00°. The inequivalent atoms are Zn at (0.0000, 0.0000, 0.0000), Cr at (0.2500, 0.2500, 0.2500) and Pb at (0.2500, 0.2500, 0.7500).

---

18.
Compound: LaThTe6
Source: the Alexandria database
Functional: PBE-GGA
Structure: relaxed

The value obtained for the final energy is -4.931 eV per atom. As for the density of states at the Fermi level: 0.311 states/eV per atom. For the formation energy from raw total energies, the calculation gives -1.032 eV per atom.

It has space group Amm2 (No. 38), with a = 4.4723 Å, b = 4.4714 Å, c = 26.9170 Å, α = 90.00°, β = 90.00° and γ = 90.00°. The inequivalent atoms are La at (0.0000, 0.0000, 0.0000), Th at (0.5000, 0.0000, 0.3388), Te at (0.0000, 0.0000, 0.2488), Te at (0.0000, 0.0000, 0.5925), Te at (0.0000, 0.0000, 0.8737), Te at (0.5000, 0.0000, 0.0926), Te at (0.5000, 0.0000, 0.4603) and Te at (0.5000, 0.0000, 0.7488).

---

19.
Compound: YTa2Zn
Source: the Alexandria database
Functional: PBE-GGA
Structure: relaxed

The value obtained for the final energy is -7.412 eV per atom. As for the density of states at the Fermi level: 1.249 states/eV per atom. The calculation puts the formation energy from the elements at 0.449 eV per atom.

It has space group Cmmm (No. 65), with a = 5.8040 Å, b = 9.5619 Å, c = 2.8949 Å, α = 90.00°, β = 90.00° and γ = 90.00°. The inequivalent atoms are Y at (0.0000, 0.0000, 0.0000), Ta at (0.2500, 0.2500, 0.5000) and Zn at (0.0000, 0.5000, 0.0000).

---

20.
Compound: CsTl4Te3
Source: the Alexandria database
Functional: PBE-GGA
Structure: relaxed

The value obtained for the final energy is -2.866 eV per atom. As for the density of states at the Fermi level: 0.451 states/eV per atom. For the formation energy from raw total energies, the calculation gives -0.398 eV per atom.

It has space group P4/mmm (No. 123), with a = 5.3382 Å, b = 5.3382 Å, c = 11.6842 Å, α = 90.00°, β = 90.00° and γ = 90.00°. The inequivalent atoms are Cs at (0.0000, 0.0000, 0.0000), Tl at (0.0000, 0.5000, 0.3193), Te at (0.0000, 0.0000, 0.5000) and Te at (0.5000, 0.5000, 0.1416).

---

21.
Compound: AcCeAu4
Source: the Alexandria database
Functional: PBE-GGA
Structure: relaxed

The value obtained for the final energy is -4.332 eV per atom. As for the density of states at the Fermi level: 1.478 states/eV per atom. The calculation puts the formation energy from the elements at -0.474 eV per atom.

It has space group F-43m (No. 216), with a = 8.2580 Å, b = 8.2580 Å, c = 8.2580 Å, α = 90.00°, β = 90.00° and γ = 90.00°. The inequivalent atoms are Ac at (0.0000, 0.0000, 0.0000), Ce at (0.2500, 0.2500, 0.7500) and Au at (0.1245, 0.1245, 0.3755).

---

22.
Compound: SmZrScIn
Source: the Alexandria database
Functional: PBE-GGA
Structure: relaxed

The value obtained for the final energy is -5.664 eV per atom. As for the density of states at the Fermi level: 1.810 states/eV per atom. The calculation puts the formation energy from the elements at -0.080 eV per atom.

It has space group F-43m (No. 216), with a = 7.3707 Å, b = 7.3707 Å, c = 7.3707 Å, α = 90.00°, β = 90.00° and γ = 90.00°. The inequivalent atoms are Sm at (0.0000, 0.0000, 0.0000), Zr at (0.0000, 0.0000, 0.5000), Sc at (0.2500, 0.2500, 0.7500) and In at (0.2500, 0.2500, 0.2500).

---

23.
Compound: TcHgSe
Source: the Alexandria database
Functional: PBE-GGA
Structure: relaxed

The value obtained for the final energy is -4.244 eV per atom. As for the density of states at the Fermi level: 0.762 states/eV per atom. For the formation energy from raw total energies, the calculation gives 0.474 eV per atom.

It has space group P-6m2 (No. 187), with a = 4.2538 Å, b = 4.2538 Å, c = 3.7046 Å, α = 90.00°, β = 90.00° and γ = 120.00°. The inequivalent atoms are Tc at (0.0000, 0.0000, 0.0000), Hg at (0.6667, 0.3333, 0.5000) and Se at (0.3333, 0.6667, 0.0000).

---

24.
Compound: LaCuAs2
Source: the Alexandria database
Functional: PBE-GGA
Structure: relaxed

The value obtained for the final energy is -4.899 eV per atom. As for the density of states at the Fermi level: 0.717 states/eV per atom. The calculation puts the formation energy from the elements at -0.319 eV per atom.

It has space group Pmmm (No. 47), with a = 3.6207 Å, b = 3.6390 Å, c = 6.2983 Å, α = 90.00°, β = 90.00° and γ = 90.00°. The inequivalent atoms are La at (0.0000, 0.0000, 0.0000), Cu at (0.0000, 0.0000, 0.5000) and As at (0.5000, 0.5000, 0.3031).

---

25.
Compound: Zr2CuRe
Source: the Alexandria database
Functional: PBE-GGA
Structure: relaxed

The value obtained for the final energy is -8.279 eV per atom. As for the density of states at the Fermi level: 1.286 states/eV per atom. The calculation puts the formation energy from the elements at 0.132 eV per atom.

It has space group R-3m (No. 166, hexagonal axes), with a = 3.2550 Å, b = 3.2550 Å, c = 24.7141 Å, α = 90.00°, β = 90.00° and γ = 120.00°. The inequivalent atoms are Zr at (0.0000, 0.0000, 0.2503), Cu at (0.0000, 0.0000, 0.5000) and Re at (0.0000, 0.0000, 0.0000).